# InFe2H

A geometry-optimized InFe2H structure (PBE, the Alexandria database).

It has space group I4_1/amd (No. 141, origin choice 2), with a = 5.230 Å, b = 5.230 Å, c = 7.389 Å, α = 90.00°, β = 90.00° and γ = 90.00°. The asymmetric unit holds In at (0.000, 0.250, 0.375), Fe at (0.000, 0.000, 0.000) and H at (0.000, 0.250, 0.875).

The energy above the lowest structure with this stoichiometry is 0.000 eV per atom. Its spin magnetization is 4.620 μB/f.u.